No. 1
{
  "formula": "CsPbIO6",
  "functional": "GGA-PBE",
  "state": "optimized geometry",
  "sg": "P312 (149)",
  "lattice_angstrom": [[5.5608, 0.0001, 0.0000], [2.7805, 4.8158, 0.0000], [0.0002, -0.0003, 6.7651]],
  "species": ["O", "O", "I", "O", "O", "O", "Cs", "Pb", "O"],
  "frac_coords": [[0.5969, 0.3637, 0.6677], [0.0393, 0.3637, 0.3323], [0.3333, 0.3333, 0.5000], [0.3637, 0.5970, 0.3323], [0.0393, 0.5970, 0.6677], [0.3636, 0.0394, 0.6677], [0.0000, 0.0000, 0.0000], [0.6666, 0.6667, 0.5000], [0.5970, 0.0393, 0.3323]]
}

No. 2
{
  "formula": "Cs2PbI6O",
  "functional": "GGA-PBE",
  "state": "optimized geometry",
  "n_ef_per_ev_cell": 2.254,
  "sg": "I4/mmm (139)",
  "lattice_angstrom": [[-6.1416, 3.7787, -3.1206], [2.7462, -1.4901, -7.2093], [-5.3834, -4.9630, -5.3065]],
  "species": ["I", "Cs", "O", "I", "I", "Pb", "I", "Cs", "I", "I"],
  "frac_coords": [[0.7762, 0.7762, 0.4477], [0.2500, 0.7500, 0.5000], [0.5000, 0.5000, 0.0000], [0.2801, 0.2801, 0.0000], [0.2801, 0.7199, 0.0000], [0.0000, 0.0000, 0.0000], [0.2238, 0.2238, 0.5523], [0.7500, 0.2500, 0.5000], [0.7199, 0.2801, 0.0000], [0.7199, 0.7199, 0.0000]]
}

No. 3
{
  "formula": "Cs2PbIO",
  "functional": "GGA-PBE",
  "state": "optimized geometry",
  "n_ef_per_ev_cell": 2.208,
  "sg": "P4/mmm (123)",
  "lattice_angstrom": [[-1.7512, 2.1615, -5.8733], [1.9562, -3.4120, -1.8390], [-5.5312, -3.3880, 0.4023]],
  "species": ["Pb", "Cs", "I", "O", "Cs"],
  "frac_coords": [[0.0000, 0.0000, 0.0000], [0.0000, 0.0000, 0.5000], [0.5000, 0.5000, 0.5000], [0.0000, 0.5000, 0.0000], [0.5000, 0.0000, 0.0000]]
}

No. 4
{
  "formula": "Cs2PdI6O",
  "functional": "GGA-PBE",
  "state": "optimized geometry",
  "n_ef_per_ev_cell": 3.555,
  "sg": "I4/mmm (139)",
  "lattice_angstrom": [[-4.4004, -3.9774, 4.7168], [6.0494, -3.9208, 2.3373], [1.8491, 0.3754, 8.1295]],
  "species": ["I", "Pd", "Cs", "I", "I", "O", "I", "Cs", "I", "I"],
  "frac_coords": [[0.7325, 0.2675, 0.0000], [0.0000, 0.0000, 0.0000], [0.7500, 0.2500, 0.5000], [0.2675, 0.7325, 0.0000], [0.2675, 0.2675, 0.0000], [0.5000, 0.5000, 0.0000], [0.7325, 0.7325, 0.0000], [0.2500, 0.7500, 0.5000], [0.2087, 0.2087, 0.5827], [0.7913, 0.7913, 0.4173]]
}

No. 5
{
  "formula": "CsPdI2O",
  "functional": "GGA-PBE",
  "state": "optimized geometry",
  "n_ef_per_ev_cell": 3.342,
  "e_above_lowest_polymorph_mev_per_atom": 0,
  "sg": "P4/mmm (123)",
  "lattice_angstrom": [[6.1031, 0.0000, 0.0000], [0.0000, 6.1031, 0.0000], [0.0000, 0.0000, 4.0180]],
  "species": ["Pd", "Cs", "I", "I", "O"],
  "frac_coords": [[0.0000, 0.0000, 0.0000], [0.5000, 0.5000, 0.5000], [0.0000, 0.5000, 0.0000], [0.5000, 0.0000, 0.0000], [0.0000, 0.0000, 0.5000]]
}

No. 6
{
  "formula": "CsPdI2O",
  "functional": "GGA-PBE",
  "state": "optimized geometry",
  "n_ef_per_ev_cell": 11.792,
  "e_above_lowest_polymorph_mev_per_atom": 1161,
  "sg": "P4/mmm (123)",
  "lattice_angstrom": [[-4.0263, 5.5776, 1.5797], [-5.4910, -3.0528, -3.2165], [-1.1489, -1.8939, 3.7588]],
  "species": ["I", "O", "Cs", "Pd", "I"],
  "frac_coords": [[0.5000, 0.0000, 0.0000], [0.0000, 0.0000, 0.5000], [0.0000, 0.0000, 0.0000], [0.5000, 0.5000, 0.5000], [0.0000, 0.5000, 0.0000]]
}

No. 7
{
  "formula": "CsPdI2O8",
  "functional": "GGA-PBE",
  "state": "optimized geometry",
  "n_ef_per_ev_cell": 5.954,
  "sg": "R-3 (148)",
  "lattice_angstrom": [[-5.2762, -0.2657, 1.9527], [-4.1448, -1.8591, -3.3297], [-1.8119, -8.2587, 2.1030]],
  "species": ["O", "O", "O", "Pd", "Cs", "I", "O", "O", "O", "O", "O", "I"],
  "frac_coords": [[0.2127, 0.2127, 0.3619], [0.7531, 0.0510, 0.8570], [0.3388, 0.7531, 0.8570], [0.0000, 0.0000, 0.0000], [0.5000, 0.5000, 0.5000], [0.2867, 0.2867, 0.1400], [0.0510, 0.3388, 0.8570], [0.2469, 0.9490, 0.1430], [0.6612, 0.2469, 0.1430], [0.9490, 0.6612, 0.1430], [0.7873, 0.7873, 0.6381], [0.7133, 0.7133, 0.8600]]
}

No. 8
{
  "formula": "Cs5PdIO2",
  "functional": "GGA-PBE",
  "state": "optimized geometry",
  "n_ef_per_ev_cell": 8.535,
  "sg": "P4/mmm (123)",
  "lattice_angstrom": [[-0.2290, 4.5682, 3.8536], [1.3199, -3.7225, 4.4913], [9.6882, 1.6993, -1.4387]],
  "species": ["Cs", "Cs", "Pd", "Cs", "Cs", "I", "O", "Cs", "O"],
  "frac_coords": [[0.0000, 0.5000, 0.2070], [0.5000, 0.0000, 0.7930], [0.0000, 0.0000, 0.0000], [0.0000, 0.5000, 0.7930], [0.5000, 0.0000, 0.2070], [0.5000, 0.5000, 0.5000], [0.0000, 0.0000, 0.7887], [0.0000, 0.0000, 0.5000], [0.0000, 0.0000, 0.2113]]
}

No. 9
{
  "formula": "Cs2PdIO6",
  "functional": "GGA-PBE",
  "state": "optimized geometry",
  "n_ef_per_ev_cell": 5.440,
  "sg": "P-3m1 (164)",
  "lattice_angstrom": [[5.5414, 0.0000, 0.0000], [0.0000, 6.5666, 0.0000], [0.0000, -3.2833, 5.6868]],
  "species": ["O", "O", "O", "Cs", "O", "O", "I", "Cs", "O", "Pd"],
  "frac_coords": [[0.2175, 0.2641, 0.1321], [0.7825, 0.1321, 0.2641], [0.2175, 0.8679, 0.7359], [0.7428, 0.6667, 0.3333], [0.7825, 0.1321, 0.8679], [0.7825, 0.7359, 0.8679], [0.0000, 0.0000, 0.0000], [0.2572, 0.3333, 0.6667], [0.2175, 0.8679, 0.1321], [0.5000, 0.0000, 0.0000]]
}

No. 10
{
  "formula": "Cs2PdIO",
  "functional": "GGA-PBE",
  "state": "optimized geometry",
  "n_ef_per_ev_cell": 1.444,
  "sg": "P4/mmm (123)",
  "lattice_angstrom": [[-5.7241, -2.6514, -1.9636], [-1.1894, -2.0094, 6.1806], [-1.8414, 3.4154, 0.7560]],
  "species": ["Cs", "O", "I", "Pd", "Cs"],
  "frac_coords": [[0.5000, 0.0000, 0.0000], [0.0000, 0.0000, 0.0000], [0.5000, 0.5000, 0.5000], [0.0000, 0.0000, 0.5000], [0.0000, 0.5000, 0.0000]]
}

No. 11
{
  "formula": "CsPdIO2",
  "functional": "GGA-PBE",
  "state": "optimized geometry",
  "n_ef_per_ev_cell": 6.523,
  "sg": "P4/mmm (123)",
  "lattice_angstrom": [[4.6572, 0.0000, 0.0000], [0.0000, 4.6572, 0.0000], [0.0000, 0.0000, 5.4173]],
  "species": ["O", "O", "Pd", "Cs", "I"],
  "frac_coords": [[0.5000, 0.0000, 0.0000], [0.0000, 0.5000, 0.0000], [0.0000, 0.0000, 0.0000], [0.5000, 0.5000, 0.5000], [0.0000, 0.0000, 0.5000]]
}

No. 12
{
  "formula": "CsPmIO6",
  "functional": "GGA-PBE",
  "state": "optimized geometry",
  "n_ef_per_ev_cell": 5.970,
  "sg": "P312 (149)",
  "lattice_angstrom": [[-0.1135, 5.5874, -1.8714], [-2.1166, 1.2736, -5.3508], [-5.9035, 0.7208, 2.5076]],
  "species": ["O", "O", "Pm", "I", "Cs", "O", "O", "O", "O"],
  "frac_coords": [[0.0567, 0.5834, 0.6693], [0.5832, 0.3600, 0.6693], [0.6666, 0.6667, 0.5000], [0.3333, 0.3333, 0.5000], [0.0000, 0.0000, 0.0000], [0.5834, 0.0568, 0.3307], [0.3598, 0.0569, 0.6693], [0.0568, 0.3599, 0.3307], [0.3599, 0.5832, 0.3307]]
}

Raw total energy per entry: -4.767 -2.590 -2.942 -2.691 -3.332 -2.172 -4.467 -3.288 -4.614 -3.646 -3.507 -5.454 eV per atom
Formation energy without anion corrections per entry: -680 -601 -269 -555 -247 313 -462 -836 -766 -465 -2 -1175 kJ/mol of formula units